[1]
TaIn2CoO6 (GGA+U, relaxed); uncorrected energy = -6.9421 eV per atom; space group = P1
1.0
-0.474 2.866 -4.680
-4.444 3.146 -0.866
0.598 5.738 0.214
O Co In Ta
6 1 2 1
Direct
0.178 0.982 0.254
0.110 0.432 0.769
0.432 0.690 0.769
0.586 0.178 0.255
0.690 0.110 0.769
0.982 0.586 0.254
0.807 0.807 0.580
0.534 0.534 0.398
0.029 0.029 0.913
0.315 0.315 0.055

[2]
TaInCo2O6 (GGA+U, relaxed); uncorrected energy = -7.2455 eV per atom; space group = R3
1.0
-3.527 -2.868 -2.756
0.923 -1.155 -5.106
1.369 -5.354 -1.309
Co O In Ta
2 6 1 1
Direct
0.026 0.026 0.921
0.523 0.523 0.432
0.703 0.122 0.765
0.226 0.938 0.249
0.587 0.226 0.249
0.410 0.703 0.764
0.938 0.587 0.249
0.122 0.410 0.765
0.811 0.811 0.566
0.315 0.315 0.056

[3]
In2CoTeO (GGA+U, relaxed); uncorrected energy = -3.5622 eV per atom; space group = P4/mmm
1.0
-3.956 2.886 0.917
-2.370 -2.249 -3.147
-1.548 -3.223 3.468
In O Co Te
2 1 1 1
Direct
0.000 0.000 0.500
0.500 0.000 0.000
0.000 0.000 0.000
0.500 0.500 0.500
0.000 0.500 0.000

[4]
In2CoTeO8 (GGA+U, relaxed); uncorrected energy = -5.5301 eV per atom; space group = P2/m
1.0
4.811 -0.137 -0.003
-0.128 4.799 -0.005
0.004 0.007 6.267
In O Co Te
2 8 1 1
Direct
0.500 0.500 0.258
0.500 0.500 0.742
0.294 0.291 0.000
0.706 0.709 0.000
0.279 0.276 0.500
0.175 0.822 0.249
0.721 0.724 0.500
0.175 0.822 0.751
0.825 0.178 0.751
0.825 0.178 0.249
0.000 0.000 0.500
0.000 0.000 0.000

[5]
In2CoTeO6 (GGA+U, relaxed); uncorrected energy = -5.5525 eV per atom; space group = P1
1.0
-5.427 -1.046 -0.814
-1.779 -5.284 -0.511
-3.075 -2.362 4.349
O In Te Co
6 2 1 1
Direct
0.697 0.121 0.763
0.418 0.700 0.762
0.632 0.205 0.256
0.205 0.907 0.257
0.908 0.630 0.256
0.120 0.419 0.762
0.023 0.023 0.929
0.528 0.527 0.417
0.314 0.315 0.058
0.816 0.814 0.555

[6]
TiIn2CoO6 (GGA+U, relaxed); uncorrected energy = -6.6807 eV per atom; space group = R3
1.0
5.362 0.000 0.000
2.681 4.643 0.000
2.681 1.548 4.769
O In Co Ti
6 2 1 1
Direct
0.956 0.586 0.248
0.691 0.111 0.764
0.111 0.434 0.764
0.586 0.210 0.248
0.434 0.691 0.764
0.210 0.956 0.248
0.029 0.029 0.914
0.525 0.525 0.426
0.808 0.808 0.575
0.312 0.312 0.064

[7]
UInCoO6 (GGA+U, relaxed); uncorrected energy = -7.2768 eV per atom; space group = P-31c
1.0
5.421 0.000 0.000
-2.710 4.695 0.000
0.000 0.000 8.884
O Co U In
12 2 2 2
Direct
0.984 0.669 0.377
0.016 0.685 0.877
0.984 0.315 0.123
0.685 0.016 0.377
0.669 0.984 0.877
0.016 0.331 0.623
0.331 0.016 0.123
0.315 0.331 0.877
0.331 0.315 0.377
0.685 0.669 0.123
0.669 0.685 0.623
0.315 0.984 0.623
0.000 0.000 0.000
0.000 0.000 0.500
0.667 0.333 0.250
0.333 0.667 0.750
0.333 0.667 0.250
0.667 0.333 0.750

[8]
VIn2CoO6 (GGA+U, relaxed); uncorrected energy = -6.2418 eV per atom; space group = R3
1.0
-3.776 2.453 2.779
0.002 -0.276 5.285
1.357 4.527 2.885
In O V Co
2 6 1 1
Direct
0.530 0.530 0.410
0.033 0.033 0.900
0.461 0.690 0.763
0.087 0.460 0.763
0.180 0.947 0.274
0.600 0.180 0.274
0.690 0.087 0.762
0.947 0.600 0.274
0.315 0.315 0.056
0.820 0.820 0.541

[9]
VInCo2O (GGA+U, relaxed); uncorrected energy = -4.5975 eV per atom; space group = P4/mmm
1.0
-2.266 -4.421 0.126
1.056 -0.639 -3.419
4.180 -2.095 1.683
In Co V O
1 2 1 1
Direct
0.500 0.500 0.500
0.500 0.000 0.000
0.000 0.000 0.500
0.000 0.000 0.000
0.000 0.500 0.000

[10]
YInCo2O (GGA+U, relaxed); uncorrected energy = -3.1578 eV per atom; space group = P4/mmm
1.0
-3.270 -1.027 3.283
-3.693 -2.463 -4.448
2.014 -4.244 0.678
O In Y Co
1 1 1 2
Direct
0.500 0.500 0.500
0.000 0.500 0.000
0.000 0.000 0.000
0.000 0.000 0.500
0.500 0.000 0.000